## Li2CaRh2 (PBE)

Data for a relaxed structure of Li2CaRh2.

Properties
density of states at the Fermi level	2.81	states/eV/f.u.
V	16.394	A^3/atom
magnetization	1.112	μB per cell
energy relative to the elements	-0.042	eV/atom
E above lowest polymorph	23	meV/atom
VASP energy	-0.305	Ry/atom

Lattice parameters (Å, degrees): 7.3625 7.3625 3.0244 90.00 90.00 90.00
Last column: nearest neighbours and their distance in Å.
Positions (direct):
Li  0.1608  0.3392  0.0000  6 Rh 2.61-2.69
Li  0.3392  0.8392  0.0000  6 Rh 2.61-2.69
Li  0.6608  0.1608  0.0000  6 Rh 2.61-2.69
Li  0.8392  0.6608  0.0000  6 Rh 2.61-2.69
Ca  0.0000  0.0000  0.5000  4 Rh 2.91, 2 Ca 3.02, 8 Li 3.15
Ca  0.5000  0.5000  0.5000  4 Rh 2.91, 2 Ca 3.02, 8 Li 3.15
Rh  0.1257  0.6257  0.5000  6 Li 2.61-2.69, 1 Rh 2.62, 2 Ca 2.91
Rh  0.3743  0.1257  0.5000  6 Li 2.61-2.69, 1 Rh 2.62, 2 Ca 2.91
Rh  0.6257  0.8743  0.5000  6 Li 2.61-2.69, 1 Rh 2.62, 2 Ca 2.91
Rh  0.8743  0.3743  0.5000  6 Li 2.61-2.69, 1 Rh 2.62, 2 Ca 2.91

***

## LaTi3Hg (PBE)

Data for a relaxed structure of LaTi3Hg.

Properties
density of states at the Fermi level	7.33	states/eV/f.u.
V	27.007	A^3/atom
magnetization	3.511	μB per cell
energy relative to the elements	0.807	eV/atom
E above lowest polymorph	0	meV/atom
VASP energy	-0.366	Ry/atom

Lattice parameters (Å, degrees): 5.1303 5.1303 5.1303 90.00 90.00 90.00
Last column: nearest neighbours and their distance in Å.
Positions (direct):
La  0.0000  0.0000  0.0000  12 Ti 3.63
Ti  0.0000  0.5000  0.5000  2 Hg 2.57
Ti  0.5000  0.0000  0.5000  2 Hg 2.57
Ti  0.5000  0.5000  0.0000  2 Hg 2.57
Hg  0.5000  0.5000  0.5000  6 Ti 2.57

***

> Which value of VASP energy does entry 2 give?

-0.366 Ry/atom